(1)
Compound: Ca5Tl4Pt
Source: Alexandria
Functional: GGA-PBE
Structure: relaxed

abc: 3.770 3.770 19.430
angles: 90.00 90.00 90.00
Positions (direct):
Ca: 0.000 0.000 0.000
Ca: 0.000 0.000 0.208
Ca: 0.000 0.000 0.417
Ca: 0.000 0.000 0.583
Ca: 0.000 0.000 0.792
Tl: 0.500 0.500 0.105
Tl: 0.500 0.500 0.310
Tl: 0.500 0.500 0.690
Tl: 0.500 0.500 0.895
Pt: 0.500 0.500 0.500

Output
The calculation puts the electronic total energy at -3.062 eV per atom. The value obtained for the calculated formation energy is -0.511 eV per atom. The symmetry is P4/mmm, No. 123.

(2)
Compound: CaTlPt3
Source: Alexandria
Functional: GGA-PBE
Structure: relaxed

abc: 5.079 5.079 5.079
angles: 90.00 90.00 90.00
Positions (direct):
Ca: 0.000 0.000 0.000
Tl: 0.500 0.500 0.500
Pt: 0.000 0.500 0.500
Pt: 0.500 0.000 0.500
Pt: 0.500 0.500 0.000

Output
The calculation puts the electronic total energy at -4.075 eV per atom. The value obtained for the calculated formation energy is 0.423 eV per atom. Its distance to the lowest polymorph of the same formula is 0.000 eV per atom. The symmetry is Pm-3m, No. 221.

(3)
Compound: CaTlPt2
Source: Alexandria
Functional: GGA-PBE
Structure: relaxed

abc: 9.956 9.956 9.956
angles: 154.91 154.91 35.78
Positions (direct):
Ca: 0.000 0.000 0.000
Ca: 0.750 0.250 0.500
Tl: 0.250 0.750 0.500
Tl: 0.500 0.500 0.000
Pt: 0.130 0.625 0.005
Pt: 0.375 0.380 0.505
Pt: 0.620 0.125 0.995
Pt: 0.875 0.870 0.495

Output
The calculation puts the electronic total energy at -4.212 eV per atom. The value obtained for the calculated formation energy is -0.099 eV per atom. The symmetry is I-42d, No. 122.

(4)
Compound: CaTlPt2
Source: Alexandria
Functional: GGA-PBE
Structure: relaxed

abc: 4.845 4.845 4.845
angles: 60.00 60.00 60.00
Positions (direct):
Ca: 0.000 0.000 0.000
Tl: 0.750 0.750 0.750
Pt: 0.250 0.250 0.250
Pt: 0.500 0.500 0.500

Output
The calculation puts the electronic total energy at -4.449 eV per atom. The value obtained for the calculated formation energy is -0.337 eV per atom. The symmetry is F-43m, No. 216.

(5)
Compound: Ca2TlPt2
Source: Alexandria
Functional: GGA-PBE
Structure: relaxed

abc: 5.689 5.689 5.689
angles: 132.41 117.24 82.41
Positions (direct):
Ca: 0.200 0.200 0.000
Ca: 0.800 0.800 0.000
Tl: 0.500 0.000 0.500
Pt: 0.226 0.500 0.726
Pt: 0.774 0.500 0.274

Output
The calculation puts the electronic total energy at -4.451 eV per atom. The value obtained for the calculated formation energy is -0.761 eV per atom. The symmetry is Immm, No. 71.

(6)
Compound: Ca2TlPt
Source: Alexandria
Functional: GGA-PBE
Structure: relaxed

abc: 6.731 6.731 6.731
angles: 104.63 104.63 119.66
Positions (direct):
Ca: 0.076 0.625 0.951
Ca: 0.375 0.326 0.451
Ca: 0.674 0.125 0.049
Ca: 0.875 0.924 0.549
Tl: 0.250 0.750 0.500
Tl: 0.500 0.500 0.000
Pt: 0.000 0.000 0.000
Pt: 0.750 0.250 0.500

Output
The calculation puts the electronic total energy at -3.470 eV per atom. The value obtained for the calculated formation energy is -0.367 eV per atom. Its distance to the lowest polymorph of the same formula is 0.289 eV per atom. The symmetry is I-42d, No. 122.

(7)
Compound: CaTlPt2
Source: Alexandria
Functional: GGA-PBE
Structure: relaxed

abc: 9.473 9.473 9.473
angles: 19.47 19.47 19.47
Positions (direct):
Ca: 0.000 0.000 0.000
Tl: 0.500 0.500 0.500
Pt: 0.252 0.252 0.252
Pt: 0.748 0.748 0.748

Output
The calculation puts the electronic total energy at -4.233 eV per atom. The value obtained for the calculated formation energy is -0.120 eV per atom. The symmetry is R-3m, No. 166.

(8)
Compound: CaTl2Pt2
Source: Alexandria
Functional: GGA-PBE
Structure: relaxed

abc: 7.552 7.552 3.912
angles: 90.00 90.00 90.00
Positions (direct):
Ca: 0.000 0.000 0.000
Ca: 0.500 0.500 0.000
Tl: 0.167 0.333 0.500
Tl: 0.333 0.833 0.500
Tl: 0.667 0.167 0.500
Tl: 0.833 0.667 0.500
Pt: 0.130 0.630 0.000
Pt: 0.370 0.130 0.000
Pt: 0.630 0.870 0.000
Pt: 0.870 0.370 0.000

Output
The calculation puts the electronic total energy at -4.074 eV per atom. The value obtained for the calculated formation energy is -0.311 eV per atom. Its distance to the lowest polymorph of the same formula is 0.044 eV per atom. The symmetry is P4/mbm, No. 127.

- Among the records above, which one has the highest electronic total energy?
  Ca5Tl4Pt